This record from Alexandria via LeMat-Bulk describes an optimized crystal structure of CaNd8Sm6. The functional is PBE.

Output
- volume (Å³/cell) = 1565
- calculated formation energy (eV per atom) = 0.154
- calculated total energy (eV/atom) = -4.41

Structure (CIF):
```
data_CaNd8Sm6
_chemical_formula_sum 'Ca3 Nd24 Sm18'
_cell_length_a 9.9005
_cell_length_b 9.9005
_cell_length_c 18.4305
_cell_angle_alpha 90.00
_cell_angle_beta 90.00
_cell_angle_gamma 120.00
_symmetry_space_group_name_H-M 'R -3'
_symmetry_Int_Tables_number 148
_symmetry_space_group_name_Hall '-R 3'
loop_
_atom_site_label
_atom_site_type_symbol
_atom_site_fract_x
_atom_site_fract_y
_atom_site_fract_z
Ca1 Ca 0.0000 0.0000 0.0000
Nd1 Nd 0.0000 0.0000 0.2346
Nd2 Nd 0.0455 0.7623 0.9016
Sm1 Sm 0.0237 0.7879 0.4075
```